1.
VASP calculation (PBE) on a relaxed Sc2Zn2Au crystal.

Computed properties:
Space group: I4/mmm, No. 139
Formation energy from the elements in meV/atom: 79
Energy above the most stable polymorph in this dataset in eV/atom: 0.5870

a b c (Å): 4.096 4.096 6.638
angles (deg): 72.03 72.03 90.00
Fractional positions:
Sc 0.750 0.250 0.500
Sc 0.250 0.750 0.500
Zn 0.404 0.404 0.192
Zn 0.596 0.596 0.808
Au 0.000 0.000 0.000

***

2.
VASP calculation (PBE) on a relaxed Cu7Pd12Rh crystal.

Computed properties:
Space group: R-3m, No. 166
Formation energy from the elements in meV/atom: 261

a b c (Å): 6.838 6.838 6.838
angles (deg): 95.92 95.92 95.92
Fractional positions:
Cu 0.936 0.633 0.936
Cu 0.367 0.064 0.064
Cu 0.064 0.064 0.367
Cu 0.500 0.500 0.500
Cu 0.936 0.936 0.633
Cu 0.633 0.936 0.936
Cu 0.064 0.367 0.064
Pd 0.774 0.246 0.774
Pd 0.754 0.226 0.226
Pd 0.434 0.146 0.434
Pd 0.854 0.566 0.566
Pd 0.226 0.226 0.754
Pd 0.566 0.566 0.854
Pd 0.434 0.434 0.146
Pd 0.774 0.774 0.246
Pd 0.146 0.434 0.434
Pd 0.566 0.854 0.566
Pd 0.246 0.774 0.774
Pd 0.226 0.754 0.226
Rh 0.000 0.000 0.000

***

3.
VASP calculation (PBE) on a relaxed AcPm4ErTm2 crystal.

Computed properties:
Space group: P-1, No. 2
Formation energy from the elements in meV/atom: 34

a b c (Å): 6.278 6.281 9.611
angles (deg): 49.20 77.71 70.87
Fractional positions:
Ac 0.500 0.500 0.000
Pm 0.000 0.756 0.744
Pm 0.000 0.244 0.256
Pm 0.500 0.745 0.255
Pm 0.500 0.255 0.745
Er 0.000 0.500 0.500
Tm 0.000 0.000 0.000
Tm 0.500 0.000 0.500

***

4.
VASP calculation (PBE) on a relaxed Zn4AgAu2 crystal.

Computed properties:
Space group: P2_1/m, No. 11
Formation energy from the elements in meV/atom: -95
Energy above the most stable polymorph in this dataset in eV/atom: 0.0558

a b c (Å): 6.784 5.123 7.323
angles (deg): 90.00 114.65 90.00
Fractional positions:
Zn 0.611 0.493 0.241
Zn 0.058 0.750 0.814
Zn 0.942 0.250 0.186
Zn 0.611 0.007 0.241
Zn 0.994 0.250 0.564
Zn 0.389 0.993 0.759
Zn 0.389 0.507 0.759
Zn 0.006 0.750 0.436
Ag 0.240 0.750 0.213
Ag 0.760 0.250 0.787
Au 0.777 0.750 0.013
Au 0.223 0.250 0.987
Au 0.359 0.250 0.426
Au 0.641 0.750 0.574

***

5.
VASP calculation (PBE) on a relaxed SrLiAl2 crystal.

Computed properties:
Space group: P4/mmm, No. 123
Formation energy from the elements in meV/atom: -94
Energy above the most stable polymorph in this dataset in eV/atom: 0.0997

a b c (Å): 3.507 3.508 7.462
angles (deg): 90.00 90.00 90.00
Fractional positions:
Al 0.000 0.000 0.068
Al 0.000 0.000 0.432
Li 0.500 0.500 0.250
Sr 0.500 0.500 0.750

***

6.
VASP calculation (PBE) on a relaxed AlCr2 crystal.

Computed properties:
Space group: Fmmm, No. 69
Formation energy from the elements in meV/atom: 0

a b c (Å): 2.582 2.582 6.277
angles (deg): 82.54 82.54 111.61
Fractional positions:
Cr 0.326 0.326 0.348
Cr 0.674 0.674 0.652
Al 0.000 0.000 0.000

***

7.
VASP calculation (PBE) on a relaxed Tl4AgPt crystal.

Computed properties:
Space group: F-43m, No. 216
Formation energy from the elements in meV/atom: 551

a b c (Å): 6.166 6.166 6.166
angles (deg): 60.00 60.00 60.00
Fractional positions:
Tl 0.876 0.375 0.375
Tl 0.375 0.375 0.876
Tl 0.375 0.876 0.375
Tl 0.375 0.375 0.375
Ag 0.750 0.750 0.750
Pt 0.000 0.000 0.000

***

8.
VASP calculation (PBE) on a relaxed V2GeTe2 crystal.

Computed properties:
Space group: I4/mmm, No. 139
Energy above the most stable polymorph in this dataset in eV/atom: 0.0000
Raw formation energy in eV/atom: 0.145

a b c (Å): 3.659 3.659 8.512
angles (deg): 77.59 77.59 90.00
Fractional positions:
Ge 0.000 0.000 0.000
Te 0.374 0.374 0.253
Te 0.626 0.626 0.747
V 0.750 0.250 0.500
V 0.250 0.750 0.500

***

Q: Number 6 is which compound?
A: AlCr2